Entry 1:
Computed, not measured: crystalline PrHoTm at its relaxed geometry at the GGA-PBE level of DFT.

Calculated values
DFT formation energy in eV/atom: 0.705
Total magnetization in μB/cell: 0.01
Crystal system: cubic
Distance to the lowest polymorph of the same formula in meV per atom: 491
Space-group type: F-43m (216)

Geometry as POSCAR:
```
PrHoTm
1.0
3.876 -1.991 3.258
-0.525 -4.982 2.123
3.197 -4.047 -1.734
Ho Pr Tm
1 1 1
Direct
0.250 0.250 0.250
0.750 0.750 0.750
0.000 0.000 0.000
```

---

Entry 2:
Computed, not measured: crystalline Zr4SnBiN2 at its relaxed geometry at the GGA-PBE level of DFT.

Calculated values
Total magnetization in μB/cell: 0.00
Crystal system: hexagonal
Space-group type: P-6m2 (187)
Calculated total energy in eV per atom: -8.369

Geometry as POSCAR:
```
Zr4SnBiN2
1.0
-0.188 -1.534 3.003
3.003 0.919 -1.242
-1.249 12.852 6.487
Bi N Sn Zr
1 2 1 4
Direct
0.000 0.000 0.000
0.333 0.667 0.251
0.333 0.667 0.749
0.667 0.333 0.500
0.667 0.333 0.167
0.000 0.000 0.335
0.000 0.000 0.665
0.667 0.333 0.833
```

---

Entry 3:
Computed, not measured: crystalline MoI5 at its relaxed geometry at the GGA-PBE level of DFT.

Calculated values
Total magnetization in μB/cell: 1.99
Crystal system: triclinic
Space-group type: P-1 (2)
Calculated total energy in eV per atom: -3.190

Geometry as POSCAR:
```
MoI5
1.0
-2.905 -4.555 4.536
-0.903 -1.564 -7.377
9.522 -2.968 2.828
I Mo
10 2
Direct
0.757 0.814 0.045
0.879 0.392 0.149
0.315 0.004 0.251
0.456 0.584 0.338
0.926 0.187 0.436
0.074 0.813 0.564
0.544 0.416 0.662
0.685 0.996 0.749
0.121 0.608 0.851
0.243 0.186 0.955
0.107 0.218 0.217
0.893 0.782 0.783
```

---

Entry 4:
Computed, not measured: crystalline Li4MgGaHg2 at its relaxed geometry at the GGA-PBE level of DFT.

Calculated values
Crystal system: tetragonal
Space-group type: P-4m2 (115)
Calculated total energy in eV per atom: -1.910

Geometry as POSCAR:
```
Li4MgGaHg2
1.0
-1.808 -1.561 3.916
-2.405 -3.118 -2.353
4.975 -4.283 0.589
Ga Hg Li Mg
1 2 4 1
Direct
0.500 0.500 0.000
0.500 0.000 0.246
0.000 0.500 0.754
0.000 0.000 0.000
0.000 0.500 0.229
0.500 0.500 0.500
0.500 0.000 0.771
0.000 0.000 0.500
```

---

Entry 5:
Computed, not measured: crystalline PmCoHg at its relaxed geometry at the GGA-PBE level of DFT.

Calculated values
DFT formation energy in eV/atom: -0.012
Total magnetization in μB/cell: 0.00
Crystal system: cubic
Distance to the lowest polymorph of the same formula in meV per atom: 0
Space-group type: F-43m (216)

Geometry as POSCAR:
```
PmCoHg
1.0
0.000 3.249 3.249
3.249 0.000 3.249
3.249 3.249 0.000
Co Hg Pm
1 1 1
Direct
0.000 0.000 0.000
0.250 0.250 0.250
0.750 0.750 0.750
```

---

Entry 6:
Computed, not measured: crystalline CdTcB4 at its relaxed geometry at the GGA-PBE level of DFT.

Calculated values
Total magnetization in μB/cell: 0.00
Crystal system: orthorhombic
Distance to the lowest polymorph of the same formula in meV per atom: 77
Space-group type: Immm (71)

Geometry as POSCAR:
```
CdTcB4
1.0
0.291 -4.468 -1.541
3.798 -1.428 2.441
-4.495 1.397 0.521
B Cd Tc
4 1 1
Direct
0.588 0.248 0.341
0.093 0.752 0.341
0.907 0.248 0.659
0.412 0.752 0.659
0.000 0.000 0.000
0.500 0.500 0.000
```